No. 1
PBE MnReB, relaxed; SG = No. 69; total DFT energy (no corrections) = -9.673 eV per atom; density = 13203 kg/m³
1.0
4.247 0.000 -1.125
-2.475 3.451 -1.125
-0.028 -0.055 4.361
B Re Mn
2 2 2
direct
0.250 0.750 0.500 B
0.750 0.250 0.500 B
0.335 0.665 0.000 Re
0.665 0.335 0.000 Re
0.171 0.171 0.343 Mn
0.829 0.829 0.657 Mn

No. 2
PBE MnRe3B, relaxed; SG = No. 221; total DFT energy (no corrections) = -8.242 eV per atom; density = 12351 kg/m³
1.0
-3.998 1.784 -0.103
-1.786 -3.997 0.083
-0.060 0.118 4.377
Re B Mn
3 1 1
direct
0.000 0.000 0.500 Re
0.000 0.500 0.000 Re
0.500 0.000 0.000 Re
0.500 0.500 0.500 B
0.000 0.000 0.000 Mn

No. 3
PBE MnReB, relaxed; SG = No. 12; total DFT energy (no corrections) = -9.669 eV per atom; density = 13443 kg/m³
1.0
2.838 0.000 0.000
0.000 4.276 -0.119
-1.419 -1.060 5.158
Mn Re B
2 2 2
direct
0.572 0.787 0.144 Mn
0.428 0.213 0.856 Mn
0.140 0.321 0.279 Re
0.860 0.679 0.721 Re
0.771 0.128 0.542 B
0.229 0.872 0.458 B

Q: density of number 1 (MnReB)?
A: 13203 kg/m³

Q: What is the density in the first record?
A: 13203 kg/m³

Please write out number 3 again, unchanged.
PBE MnReB, relaxed; SG = No. 12; total DFT energy (no corrections) = -9.669 eV per atom; density = 13443 kg/m³
1.0
2.838 0.000 0.000
0.000 4.276 -0.119
-1.419 -1.060 5.158
Mn Re B
2 2 2
direct
0.572 0.787 0.144 Mn
0.428 0.213 0.856 Mn
0.140 0.321 0.279 Re
0.860 0.679 0.721 Re
0.771 0.128 0.542 B
0.229 0.872 0.458 B